NpZn17Tc: optimized geometry, PBE-GGA.

Computed properties:
energy of formation from the pure elements: 0.037 eV/atom

abc: 9.1331 9.1331 12.8500
angles: 90.00 90.00 120.00
Space group R3m (No. 160, hexagonal axes)
Symmetry-distinct sites (fractional):
Np1 0.0000 0.0000 0.0000 [3 per cell]
Zn1 0.0000 0.0000 0.2523 [3 per cell]
Zn2 0.0000 0.0000 0.4701 [3 per cell]
Zn3 0.0053 0.5026 0.1953 [9 per cell]
Zn4 0.0104 0.5052 0.8397 [9 per cell]
Zn5 0.0437 0.3735 0.3606 [18 per cell]
Zn6 0.1699 0.3398 0.8733 [9 per cell]
Tc1 0.0000 0.0000 0.8155 [3 per cell]